No. 1
VASP calculation (GGA-PBE) on an optimized crystal structure of LiBe2W.

Cell lengths 6.083, 6.083, 4.969 Å; angles 52.26, 52.26, 90.00 degrees
Element x y z (fractional)
W 0.750 0.250 0.500
W 0.000 0.000 0.000
Be 0.375 0.402 0.750
Be 0.152 0.625 0.250
Be 0.598 0.125 0.250
Be 0.875 0.848 0.750
Li 0.250 0.750 0.500
Li 0.500 0.500 0.000

Computed properties:
space group = I-42d, No. 122
polymorph energy (0 for the lowest one) = 504 meV per atom
energy relative to the elements = 678 meV per atom
total energy = -4.902 eV per atom

No. 2
VASP calculation (GGA-PBE) on an optimized crystal structure of InHO3.

Cell lengths 4.179, 4.179, 4.179 Å; angles 90.00, 90.00, 90.00 degrees
Site moments in Bohr magnetons follow the coordinates.
Element x y z (fractional)
In 0.000 0.000 0.000  -0.01
H 0.500 0.500 0.500  -0.29
O 0.500 0.000 0.000  0.81
O 0.000 0.000 0.500  0.61
O 0.000 0.500 0.000  0.80

Computed properties:
space group = Pm-3m, No. 221
total energy = -3.656 eV per atom

No. 3
VASP calculation (GGA-PBE) on an optimized crystal structure of Be2PIr.

Cell lengths 4.117, 4.117, 2.788 Å; angles 90.00, 90.00, 109.67 degrees
Element x y z (fractional)
Be 0.500 0.500 0.000
Be 0.000 0.000 0.000
P 0.000 0.500 0.500
Ir 0.500 0.000 0.500

Computed properties:
space group = Cmmm, No. 65
energy relative to the elements = -189 meV per atom
total energy = -5.620 eV per atom

No. 4
VASP calculation (GGA-PBE) on an optimized crystal structure of CdSbAs2.

Cell lengths 3.910, 4.353, 5.734 Å; angles 90.00, 90.00, 90.00 degrees
Element x y z (fractional)
As 0.000 0.581 0.875
As 0.500 0.125 0.375
Cd 0.000 0.636 0.375
Sb 0.500 0.157 0.875

Computed properties:
space group = Pmm2, No. 25
polymorph energy (0 for the lowest one) = 0 meV per atom
formation energy (no corrections) = 0.045 eV/atom
total energy = -3.539 eV per atom